Th6Ge2AuSe3: optimized geometry, PBE.

Cell: 18.524 4.269 8.557 Å, 90.00 101.56 90.00°
Space group C2/m (No. 12)
Inequivalent atoms, fractional coordinates:
Th (0.003, 0.000, 0.248) x4
Th (0.167, 0.500, 0.089) x4
Th (0.168, 0.500, 0.579) x4
Ge (0.167, 0.000, 0.334) x4
Au (0.000, 0.500, 0.000) x2
Se (0.000, 0.500, 0.500) x2
Se (0.166, 0.000, 0.833) x4

## Properties
total energy	-6.774	eV per atom
energy relative to the elements, uncorrected	-111.0	kJ/mol of atoms